Record 1
# PBE-GGA Ho4MgZnRu2, relaxed
data_Ho4MgZnRu2
_cell_length_a 8.5805
_cell_length_b 8.5805
_cell_length_c 8.5805
_cell_angle_alpha 33.45
_cell_angle_beta 33.45
_cell_angle_gamma 33.45
_space_group_name_H-M_alt 'P 1'
_space_group_IT_number 1
_space_group_name_Hall 'P 1'
loop_
_atom_site_label
_atom_site_type_symbol
_atom_site_fract_x
_atom_site_fract_y
_atom_site_fract_z
Ho1 Ho 0.1221 0.1221 0.1221
Ho2 Ho 0.3726 0.3726 0.3726
Ho3 Ho 0.6274 0.6274 0.6274
Ho4 Ho 0.8779 0.8779 0.8779
Mg1 Mg 0.5000 0.5000 0.5000
Zn1 Zn 0.0000 0.0000 0.0000
Ru1 Ru 0.2478 0.2478 0.2478
Ru2 Ru 0.7522 0.7522 0.7522
# Total magnetic moment (μB per atom): 0.0000
# ΔE_f (eV per atom): -0.30


Record 2
# PBE-GGA Ho3MgS, relaxed
data_Ho3MgS
_cell_length_a 5.1956
_cell_length_b 5.1956
_cell_length_c 5.1956
_cell_angle_alpha 90.00
_cell_angle_beta 90.00
_cell_angle_gamma 90.00
_space_group_name_H-M_alt 'P 1'
_space_group_IT_number 1
_space_group_name_Hall 'P 1'
loop_
_atom_site_label
_atom_site_type_symbol
_atom_site_fract_x
_atom_site_fract_y
_atom_site_fract_z
Ho1 Ho 0.0000 0.0000 0.5000
Ho2 Ho 0.0000 0.5000 0.0000
Ho3 Ho 0.5000 0.0000 0.0000
Mg1 Mg 0.5000 0.5000 0.5000
S1 S 0.0000 0.0000 0.0000
# Total magnetic moment (μB per atom): 0.0000
# Uncorrected formation energy (meV per atom): -691.3


Record 3
# PBE-GGA Ho2MgS, relaxed
data_Ho2MgS
_cell_length_a 9.9868
_cell_length_b 9.9868
_cell_length_c 9.9868
_cell_angle_alpha 21.01
_cell_angle_beta 21.01
_cell_angle_gamma 21.01
_space_group_name_H-M_alt 'P 1'
_space_group_IT_number 1
_space_group_name_Hall 'P 1'
loop_
_atom_site_label
_atom_site_type_symbol
_atom_site_fract_x
_atom_site_fract_y
_atom_site_fract_z
Ho1 Ho 0.1106 0.1106 0.1106
Ho2 Ho 0.8894 0.8894 0.8894
Mg1 Mg 0.0000 0.0000 0.0000
S1 S 0.5000 0.5000 0.5000
# Total magnetic moment (μB per atom): 0.0000
# Uncorrected formation energy (meV per atom): -678.7


Record 4
# PBE-GGA HoMgS2, relaxed
data_HoMgS2
_cell_length_a 6.7809
_cell_length_b 6.7809
_cell_length_c 6.7809
_cell_angle_alpha 31.94
_cell_angle_beta 31.94
_cell_angle_gamma 31.94
_space_group_name_H-M_alt 'P 1'
_space_group_IT_number 1
_space_group_name_Hall 'P 1'
loop_
_atom_site_label
_atom_site_type_symbol
_atom_site_fract_x
_atom_site_fract_y
_atom_site_fract_z
Ho1 Ho 0.0000 0.0000 0.0000
Mg1 Mg 0.5000 0.5000 0.5000
S1 S 0.2434 0.2434 0.2434
S2 S 0.7566 0.7566 0.7566
# Total magnetic moment (μB per atom): 0.0000
# Uncorrected formation energy (meV per atom): -1607.6


> Look up the total magnetic moment of the second one.

0.0000 μB per atom